DFT (PBE) results for a relaxed PmSmAs2 crystal.

## Properties
VASP energy = -24.3 eV for the cell shown
SG = R3m, No. 160
excess energy over the best structure of this formula in the dataset = 157 meV/atom
M_tot = 0.000 μB/atom
energy relative to the elements = -1.371 eV/atom

Cell and atoms, written as POSCAR:
```
PmSmAs2
1.0
-1.931 -3.575 1.001
-1.248 -2.619 -3.015
5.304 -5.422 -0.389
Pm Sm As
1 1 2
direct
0.669 0.669 0.993
0.498 0.498 0.507
0.251 0.251 0.248
0.083 0.083 0.752
```